Density functional theory data (GGA-PBE) for a relaxed structure of Pm3TiO6.

Cell: 6.731 6.731 6.731 Å, 93.35 93.35 93.35°
Atoms (fractional coordinates):
Pm 0.066 0.574 0.758
Pm 0.242 0.934 0.426
Pm 0.426 0.242 0.934
Pm 0.574 0.758 0.066
Pm 0.758 0.066 0.574
Pm 0.934 0.426 0.242
Ti 0.000 0.000 0.000
Ti 0.500 0.500 0.500
O 0.044 0.916 0.706
O 0.084 0.294 0.956
O 0.202 0.579 0.436
O 0.294 0.956 0.084
O 0.421 0.564 0.798
O 0.436 0.202 0.579
O 0.564 0.798 0.421
O 0.579 0.436 0.202
O 0.706 0.044 0.916
O 0.798 0.421 0.564
O 0.916 0.706 0.044
O 0.956 0.084 0.294

Summary:
magnetic moment = 1.00 μB per formula unit
raw total energy = -8.436 eV/atom
polymorph energy (0 for the lowest one) = 0.0 meV/atom
formation energy without anion corrections = -313.2 kJ per mole of atoms

=====

Density functional theory data (GGA-PBE) for a relaxed structure of Pm2Ti3O8.

Cell: 3.891 3.891 10.983 Å, 90.00 90.00 90.00°
Atoms (fractional coordinates):
Pm 0.000 0.000 0.198
Pm 0.000 0.000 0.802
Ti 0.500 0.500 0.000
Ti 0.500 0.500 0.363
Ti 0.500 0.500 0.637
O 0.000 0.500 0.000
O 0.000 0.500 0.341
O 0.000 0.500 0.659
O 0.500 0.000 0.000
O 0.500 0.000 0.341
O 0.500 0.000 0.659
O 0.500 0.500 0.176
O 0.500 0.500 0.824

Summary:
magnetic moment = 1.91 μB per formula unit
raw total energy = -8.585 eV/atom
formation energy without anion corrections = -287.7 kJ per mole of atoms

=====

Density functional theory data (GGA-PBE) for a relaxed structure of PmTiO2.

Cell: 6.690 6.690 6.690 Å, 28.61 28.61 28.61°
Atoms (fractional coordinates):
Pm 0.000 0.000 0.000
Ti 0.500 0.500 0.500
O 0.121 0.121 0.121
O 0.879 0.879 0.879

Summary:
magnetic moment = 0.52 μB per formula unit
raw total energy = -7.894 eV/atom
formation energy without anion corrections = -217.4 kJ per mole of atoms

=====

Density functional theory data (GGA-PBE) for a relaxed structure of Pm5Ti2O12.

Cell: 7.012 7.012 7.516 Å, 105.54 105.54 50.50°
Atoms (fractional coordinates):
Pm 0.000 0.000 0.000
Pm 0.307 0.307 0.145
Pm 0.307 0.307 0.662
Pm 0.693 0.693 0.338
Pm 0.693 0.693 0.855
Ti 0.242 0.758 0.500
Ti 0.758 0.242 0.500
O 0.000 0.000 0.323
O 0.000 0.000 0.677
O 0.095 0.597 0.924
O 0.102 0.577 0.419
O 0.403 0.905 0.076
O 0.423 0.898 0.581
O 0.499 0.499 0.678
O 0.501 0.501 0.322
O 0.577 0.102 0.419
O 0.597 0.095 0.924
O 0.898 0.423 0.581
O 0.905 0.403 0.076

Summary:
magnetic moment = 0.89 μB per formula unit
raw total energy = -8.460 eV/atom
formation energy without anion corrections = -313.3 kJ per mole of atoms

=====

Density functional theory data (GGA-PBE) for a relaxed structure of Pm2TiO5.

Cell: 10.739 3.823 11.503 Å, 90.00 90.00 90.00°
Atoms (fractional coordinates):
Pm 0.108 0.250 0.221
Pm 0.137 0.250 0.555
Pm 0.363 0.750 0.055
Pm 0.392 0.750 0.721
Pm 0.608 0.250 0.279
Pm 0.637 0.250 0.945
Pm 0.863 0.750 0.445
Pm 0.892 0.750 0.779
Ti 0.181 0.250 0.877
Ti 0.319 0.750 0.377
Ti 0.681 0.250 0.623
Ti 0.819 0.750 0.123
O 0.008 0.750 0.604
O 0.019 0.250 0.842
O 0.223 0.250 0.037
O 0.235 0.750 0.229
O 0.237 0.750 0.880
O 0.263 0.250 0.380
O 0.265 0.250 0.729
O 0.277 0.750 0.537
O 0.481 0.750 0.342
O 0.492 0.250 0.104
O 0.508 0.750 0.896
O 0.519 0.250 0.658
O 0.723 0.250 0.463
O 0.735 0.750 0.271
O 0.737 0.750 0.620
O 0.763 0.250 0.120
O 0.765 0.250 0.771
O 0.777 0.750 0.963
O 0.981 0.750 0.158
O 0.992 0.250 0.396

Summary:
magnetic moment = 0.00 μB per formula unit
raw total energy = -8.649 eV/atom
formation energy without anion corrections = -325.7 kJ per mole of atoms

=====

Density functional theory data (GGA-PBE) for a relaxed structure of Pm3TiO6.

Cell: 7.353 7.353 5.654 Å, 90.00 90.00 101.89°
Atoms (fractional coordinates):
Pm 0.102 0.898 0.500
Pm 0.210 0.410 0.453
Pm 0.410 0.210 0.953
Pm 0.590 0.790 0.453
Pm 0.790 0.590 0.953
Pm 0.898 0.102 0.000
Ti 0.311 0.689 0.926
Ti 0.689 0.311 0.426
O 0.091 0.608 0.757
O 0.141 0.173 0.726
O 0.173 0.141 0.226
O 0.282 0.718 0.254
O 0.392 0.909 0.757
O 0.465 0.535 0.771
O 0.535 0.465 0.271
O 0.608 0.091 0.257
O 0.718 0.282 0.754
O 0.827 0.859 0.726
O 0.859 0.827 0.226
O 0.909 0.392 0.257

Summary:
magnetic moment = 0.98 μB per formula unit
raw total energy = -8.429 eV/atom
polymorph energy (0 for the lowest one) = 7.3 meV/atom
formation energy without anion corrections = -312.5 kJ per mole of atoms

=====

Density functional theory data (GGA-PBE) for a relaxed structure of Pm3Ti2O8.

Cell: 7.268 7.268 9.055 Å, 90.00 90.00 122.51°
Atoms (fractional coordinates):
Pm 0.000 0.000 0.000
Pm 0.089 0.411 0.250
Pm 0.411 0.089 0.750
Pm 0.500 0.500 0.500
Pm 0.589 0.911 0.250
Pm 0.911 0.589 0.750
Ti 0.102 0.898 0.384
Ti 0.398 0.602 0.884
Ti 0.602 0.398 0.116
Ti 0.898 0.102 0.616
O 0.019 0.981 0.742
O 0.107 0.334 0.504
O 0.166 0.393 0.996
O 0.222 0.778 0.269
O 0.278 0.722 0.769
O 0.334 0.107 0.496
O 0.393 0.166 0.004
O 0.481 0.519 0.242
O 0.519 0.481 0.758
O 0.607 0.834 0.996
O 0.666 0.893 0.504
O 0.722 0.278 0.231
O 0.778 0.222 0.731
O 0.834 0.607 0.004
O 0.893 0.666 0.496
O 0.981 0.019 0.258

Summary:
magnetic moment = 0.61 μB per formula unit
raw total energy = -8.479 eV/atom
formation energy without anion corrections = -300.7 kJ per mole of atoms

=====

Density functional theory data (GGA-PBE) for a relaxed structure of PmTi2O4.

Cell: 5.112 5.112 10.160 Å, 90.00 90.00 142.44°
Atoms (fractional coordinates):
Pm 0.128 0.872 0.750
Pm 0.872 0.128 0.250
Ti 0.385 0.615 0.557
Ti 0.385 0.615 0.943
Ti 0.615 0.385 0.057
Ti 0.615 0.385 0.443
O 0.000 0.000 0.000
O 0.000 0.000 0.500
O 0.264 0.736 0.108
O 0.264 0.736 0.392
O 0.446 0.554 0.750
O 0.554 0.446 0.250
O 0.736 0.264 0.608
O 0.736 0.264 0.892

Summary:
magnetic moment = 0.31 μB per formula unit
raw total energy = -8.646 eV/atom
formation energy without anion corrections = -277.7 kJ per mole of atoms

=====

- Which value of formation energy without anion corrections does entry 3 give?
  -217.4 kJ per mole of atoms